No. 1
! LiMg2, relaxed, DFT GGA-PBE; values from VASP
&SYSTEM
  ibrav = 0, nat = 3, ntyp = 2
/
ATOMIC_SPECIES
Li 6.94 Li.upf
Mg 24.30 Mg.upf
CELL_PARAMETERS angstrom
3.137 0.000 0.000
-1.569 2.717 0.000
0.000 0.000 7.677
ATOMIC_POSITIONS angstrom
Li 0.000 0.000 0.000
Mg 0.000 1.811 2.518
Mg 1.569 0.906 5.160
! E_form = -0.029 eV/atom
! Energy = -5.2 eV per formula unit


No. 2
! LiMg2, relaxed, DFT GGA-PBE; values from VASP
&SYSTEM
  ibrav = 0, nat = 6, ntyp = 2
/
ATOMIC_SPECIES
Li 6.94 Li.upf
Mg 24.30 Mg.upf
CELL_PARAMETERS angstrom
3.101 0.000 0.000
0.000 4.490 0.000
0.000 0.000 9.312
ATOMIC_POSITIONS angstrom
Li 0.000 0.000 0.000
Li 1.550 2.245 4.656
Mg 0.000 0.000 3.111
Mg 0.000 0.000 6.202
Mg 1.550 2.245 1.545
Mg 1.550 2.245 7.767
! E_form = -0.032 eV/atom
! Energy = -5.2 eV per formula unit